# 1
A plane-wave DFT calculation with PBE was carried out for YHo8Tm6 after structural relaxation.

a = 8.5388 Å, b = 8.5388 Å, c = 8.5388 Å
α = 63.09°, β = 63.09°, γ = 63.09°
Closest atoms and distances in Å follow each position.
Atoms (fractional coordinates):
Y  0.0000  0.0000  0.0000  6 Tm 3.39, 6 Ho 3.50
Ho  0.1095  0.7433  0.7204  5 Ho 3.36-3.38, 3 Tm 3.37-3.72, 1 Y 3.50
Ho  0.2567  0.2796  0.8905  5 Ho 3.36-3.38, 3 Tm 3.37-3.72, 1 Y 3.50
Ho  0.2796  0.8905  0.2567  5 Ho 3.36-3.38, 3 Tm 3.37-3.72, 1 Y 3.50
Ho  0.4234  0.4234  0.4234  4 Ho 3.13-3.38, 3 Tm 3.32
Ho  0.5766  0.5766  0.5766  4 Ho 3.13-3.38, 3 Tm 3.32
Ho  0.7204  0.1095  0.7433  5 Ho 3.36-3.38, 3 Tm 3.37-3.72, 1 Y 3.50
Ho  0.7433  0.7204  0.1095  5 Ho 3.36-3.38, 3 Tm 3.37-3.72, 1 Y 3.50
Ho  0.8905  0.2567  0.2796  5 Ho 3.36-3.38, 3 Tm 3.37-3.72, 1 Y 3.50
Tm  0.1101  0.2292  0.5401  4 Ho 3.32-3.72, 1 Y 3.39, 4 Tm 3.44-3.68
Tm  0.2292  0.5401  0.1101  4 Ho 3.32-3.72, 1 Y 3.39, 4 Tm 3.44-3.68
Tm  0.4599  0.8899  0.7708  4 Ho 3.32-3.72, 1 Y 3.39, 4 Tm 3.44-3.68
Tm  0.5401  0.1101  0.2292  4 Ho 3.32-3.72, 1 Y 3.39, 4 Tm 3.44-3.68
Tm  0.7708  0.4599  0.8899  4 Ho 3.32-3.72, 1 Y 3.39, 4 Tm 3.44-3.68
Tm  0.8899  0.7708  0.4599  4 Ho 3.32-3.72, 1 Y 3.39, 4 Tm 3.44-3.68

## Properties
Space-group type = R-3 (148)

***

# 2
A plane-wave DFT calculation with PBE was carried out for LuCuGeRh after structural relaxation.

a = 4.5201 Å, b = 4.5201 Å, c = 4.5201 Å
α = 60.00°, β = 60.00°, γ = 60.00°
Closest atoms and distances in Å follow each position.
Atoms (fractional coordinates):
Lu  0.0000  0.0000  0.0000  4 Cu 2.77, 4 Rh 2.77
Cu  0.2500  0.2500  0.2500  4 Ge 2.77, 4 Lu 2.77
Ge  0.5000  0.5000  0.5000  4 Rh 2.77, 4 Cu 2.77
Rh  0.7500  0.7500  0.7500  4 Ge 2.77, 4 Lu 2.77

## Properties
Space-group type = F-43m (216)

***

# 3
A plane-wave DFT calculation with PBE was carried out for AuC2 after structural relaxation.

a = 2.5768 Å, b = 2.5768 Å, c = 8.6842 Å
α = 88.95°, β = 88.88°, γ = 60.00°
Closest atoms and distances in Å follow each position.
Atoms (fractional coordinates):
Au  0.0000  0.0000  0.0000  6 Au 2.58
C  0.3315  0.3514  0.5001  3 C 1.49
C  0.9982  0.0181  0.5001  3 C 1.49

## Properties
Space-group type = P1 (1)

***

# 4
A plane-wave DFT calculation with PBE was carried out for Ca2SbPt after structural relaxation.

a = 3.4543 Å, b = 3.5814 Å, c = 8.0146 Å
α = 90.00°, β = 90.00°, γ = 90.00°
Closest atoms and distances in Å follow each position.
Atoms (fractional coordinates):
Ca  0.0000  0.0000  0.2170  4 Pt 3.04, 4 Sb 3.37
Ca  0.0000  0.0000  0.7830  4 Pt 3.04, 4 Sb 3.37
Sb  0.5000  0.5000  0.5000  8 Ca 3.37, 4 Sb 3.45-3.58
Pt  0.5000  0.5000  0.0000  8 Ca 3.04

## Properties
Formation energy without anion corrections = -0.86 eV/atom
Space-group type = Pmmm (47)

***

# 5
A plane-wave DFT calculation with PBE was carried out for BaErTcO6 after structural relaxation.

a = 5.5749 Å, b = 5.5749 Å, c = 5.6317 Å
α = 90.00°, β = 90.00°, γ = 120.00°
Closest atoms and distances in Å follow each position.
Atoms (fractional coordinates):
Ba  0.0000  0.0000  0.0000  6 O 2.74
Er  0.3333  0.6667  0.5000  6 O 2.22
Tc  0.6667  0.3333  0.5000  6 O 1.91
O  0.4020  0.0413  0.6959  1 Tc 1.91
O  0.4020  0.3607  0.3041  1 Tc 1.91
O  0.6393  0.0413  0.3041  1 Tc 1.91
O  0.6393  0.5980  0.6959  1 Tc 1.91
O  0.9587  0.3607  0.6959  1 Tc 1.91
O  0.9587  0.5980  0.3041  1 Tc 1.91

## Properties
Formation energy without anion corrections = -2.30 eV/atom
Space-group type = P312 (149)

***

# 6
A plane-wave DFT calculation with PBE was carried out for KSnOs3 after structural relaxation.

a = 5.0120 Å, b = 5.0120 Å, c = 5.0120 Å
α = 90.00°, β = 90.00°, γ = 90.00°
Closest atoms and distances in Å follow each position.
Atoms (fractional coordinates):
K  0.0000  0.0000  0.0000  12 Os 3.54
Sn  0.5000  0.5000  0.5000  6 Os 2.51
Os  0.0000  0.5000  0.5000  2 Sn 2.51
Os  0.5000  0.0000  0.5000  2 Sn 2.51
Os  0.5000  0.5000  0.0000  2 Sn 2.51

## Properties
Space-group type = Pm-3m (221)

***

Electronic total energy (computed, eV per atom): -4.524 -5.646 -6.976 -4.401 -7.476 -5.326
Calculated volume (computed, Å³ per cell): 470.4 65.3 49.9 99.2 151.6 125.9